No. 1
DFT (PBE-GGA) results for crystalline RbLiNiTe at its relaxed geometry.

Properties
As for the energy above the most stable polymorph in this dataset: 0.000 eV per atom.

a b c (Å): 7.131 7.131 7.131
angles (deg): 90.00 90.00 90.00
Space group F-43m (No. 216)
Inequivalent atoms, fractional coordinates:
1 Rb 0.000 0.000 0.000
2 Li 0.250 0.250 0.750
3 Ni 0.250 0.250 0.250
4 Te 0.000 0.000 0.500

No. 2
DFT (PBE-GGA) results for crystalline RbLiNiTe at its relaxed geometry.

Properties
As for the energy above the most stable polymorph in this dataset: 0.163 eV per atom.

a b c (Å): 7.274 7.274 7.274
angles (deg): 90.00 90.00 90.00
Space group F-43m (No. 216)
Inequivalent atoms, fractional coordinates:
1 Rb 0.000 0.000 0.000
2 Li 0.250 0.250 0.750
3 Ni 0.000 0.000 0.500
4 Te 0.250 0.250 0.250

No. 3
DFT (PBE-GGA) results for crystalline LiReNi at its relaxed geometry.

Properties
As for the energy above the most stable polymorph in this dataset: 0.404 eV per atom.

a b c (Å): 5.564 5.564 5.564
angles (deg): 90.00 90.00 90.00
Space group F-43m (No. 216)
Inequivalent atoms, fractional coordinates:
1 Li 0.000 0.000 0.000
2 Re 0.250 0.250 0.250
3 Ni 0.000 0.000 0.500

No. 4
DFT (PBE-GGA) results for crystalline LiTlReNi at its relaxed geometry.

a b c (Å): 6.178 6.178 6.178
angles (deg): 90.00 90.00 90.00
Space group F-43m (No. 216)
Inequivalent atoms, fractional coordinates:
1 Li 0.000 0.000 0.000
2 Tl 0.250 0.250 0.250
3 Re 0.250 0.250 0.750
4 Ni 0.000 0.000 0.500

No. 5
DFT (PBE-GGA) results for crystalline LiZnReNi at its relaxed geometry.

a b c (Å): 5.843 5.843 5.843
angles (deg): 90.00 90.00 90.00
Space group F-43m (No. 216)
Inequivalent atoms, fractional coordinates:
1 Li 0.000 0.000 0.000
2 Zn 0.250 0.250 0.250
3 Re 0.250 0.250 0.750
4 Ni 0.000 0.000 0.500

No. 6
DFT (PBE-GGA) results for crystalline LiNi3S5 at its relaxed geometry.

a b c (Å): 5.5392 5.5392 6.1704
angles (deg): 90.00 90.00 120.00
Space group P6/mmm (No. 191)
Inequivalent atoms, fractional coordinates:
1 Li 0.0000 0.0000 0.0000
2 Ni 0.0000 0.5000 0.5000
3 S 0.0000 0.0000 0.5000
4 S 0.3333 0.6667 0.2548

No. 7
DFT (PBE-GGA) results for crystalline LiScNiS3 at its relaxed geometry.

a b c (Å): 3.560 12.174 9.612
angles (deg): 90.00 90.00 90.00
Space group Cmcm (No. 63)
Inequivalent atoms, fractional coordinates:
1 Li 0.000 0.229 0.250
2 Sc 0.000 0.000 0.000
3 Ni 0.000 0.486 0.750
4 S 0.000 0.094 0.750
5 S 0.000 0.362 0.580

No. 8
DFT (PBE-GGA) results for crystalline LiTaNiS3 at its relaxed geometry.

a b c (Å): 3.370 12.502 9.262
angles (deg): 90.00 90.00 90.00
Space group Cmcm (No. 63)
Inequivalent atoms, fractional coordinates:
1 Li 0.000 0.223 0.250
2 Ta 0.000 0.000 0.000
3 Ni 0.000 0.473 0.750
4 S 0.000 0.090 0.750
5 S 0.000 0.362 0.563

No. 9
DFT (PBE-GGA) results for crystalline Li2ZnNiS4 at its relaxed geometry.

a b c (Å): 6.220 6.314 10.043
angles (deg): 90.00 128.17 90.00
Space group Pc (No. 7)
Inequivalent atoms, fractional coordinates:
1 Li 0.000 0.152 0.000
2 Li 0.752 0.327 0.239
3 Zn 0.267 0.319 0.750
4 Ni 0.506 0.178 0.497
5 S 0.169 0.330 0.268
6 S 0.379 0.142 0.988
7 S 0.620 0.310 0.732
8 S 0.857 0.209 0.501

No. 10
DFT (PBE-GGA) results for crystalline LiScNiSb at its relaxed geometry.

Properties
As for the energy above the most stable polymorph in this dataset: 0.000 eV per atom.

a b c (Å): 6.319 6.319 6.319
angles (deg): 90.00 90.00 90.00
Space group F-43m (No. 216)
Inequivalent atoms, fractional coordinates:
1 Li 0.000 0.000 0.000
2 Sc 0.250 0.250 0.250
3 Ni 0.000 0.000 0.500
4 Sb 0.250 0.250 0.750

No. 11
DFT (PBE-GGA) results for crystalline LiScNiSb at its relaxed geometry.

Properties
As for the energy above the most stable polymorph in this dataset: 0.082 eV per atom.

a b c (Å): 6.521 6.521 6.521
angles (deg): 90.00 90.00 90.00
Space group F-43m (No. 216)
Inequivalent atoms, fractional coordinates:
1 Li 0.000 0.000 0.000
2 Sc 0.000 0.000 0.500
3 Ni 0.250 0.250 0.250
4 Sb 0.250 0.250 0.750

No. 12
DFT (PBE-GGA) results for crystalline LiScNiSb at its relaxed geometry.

Properties
As for the energy above the most stable polymorph in this dataset: 0.199 eV per atom.

a b c (Å): 6.440 6.440 6.440
angles (deg): 90.00 90.00 90.00
Space group F-43m (No. 216)
Inequivalent atoms, fractional coordinates:
1 Li 0.000 0.000 0.000
2 Sc 0.250 0.250 0.750
3 Ni 0.250 0.250 0.250
4 Sb 0.000 0.000 0.500

No. 13
DFT (PBE-GGA) results for crystalline LiTaNiSb at its relaxed geometry.

Properties
As for the energy above the most stable polymorph in this dataset: 0.000 eV per atom.

a b c (Å): 6.262 6.262 6.262
angles (deg): 90.00 90.00 90.00
Space group F-43m (No. 216)
Inequivalent atoms, fractional coordinates:
1 Li 0.000 0.000 0.000
2 Ta 0.250 0.250 0.750
3 Ni 0.000 0.000 0.500
4 Sb 0.250 0.250 0.250

No. 14
DFT (PBE-GGA) results for crystalline LiTaNiSb at its relaxed geometry.

Properties
As for the energy above the most stable polymorph in this dataset: 0.030 eV per atom.

a b c (Å): 6.341 6.341 6.341
angles (deg): 90.00 90.00 90.00
Space group F-43m (No. 216)
Inequivalent atoms, fractional coordinates:
1 Li 0.000 0.000 0.000
2 Ta 0.250 0.250 0.250
3 Ni 0.250 0.250 0.750
4 Sb 0.000 0.000 0.500

No. 15
DFT (PBE-GGA) results for crystalline LiTcNiSb at its relaxed geometry.

Properties
As for the energy above the most stable polymorph in this dataset: 0.000 eV per atom.

a b c (Å): 6.113 6.113 6.113
angles (deg): 90.00 90.00 90.00
Space group F-43m (No. 216)
Inequivalent atoms, fractional coordinates:
1 Li 0.000 0.000 0.000
2 Tc 0.250 0.250 0.250
3 Ni 0.250 0.250 0.750
4 Sb 0.000 0.000 0.500

No. 16
DFT (PBE-GGA) results for crystalline LiTcNiSb at its relaxed geometry.

Properties
As for the energy above the most stable polymorph in this dataset: 0.248 eV per atom.

a b c (Å): 6.085 6.085 6.085
angles (deg): 90.00 90.00 90.00
Space group F-43m (No. 216)
Inequivalent atoms, fractional coordinates:
1 Li 0.000 0.000 0.000
2 Tc 0.250 0.250 0.750
3 Ni 0.000 0.000 0.500
4 Sb 0.250 0.250 0.250

No. 17
DFT (PBE-GGA) results for crystalline LiNiSbW at its relaxed geometry.

a b c (Å): 6.206 6.206 6.206
angles (deg): 90.00 90.00 90.00
Space group F-43m (No. 216)
Inequivalent atoms, fractional coordinates:
1 Li 0.000 0.000 0.000
2 Ni 0.000 0.000 0.500
3 Sb 0.250 0.250 0.250
4 W 0.250 0.250 0.750

No. 18
DFT (PBE-GGA) results for crystalline LiYNiSb at its relaxed geometry.

a b c (Å): 6.563 6.563 6.563
angles (deg): 90.00 90.00 90.00
Space group F-43m (No. 216)
Inequivalent atoms, fractional coordinates:
1 Li 0.000 0.000 0.000
2 Y 0.250 0.250 0.750
3 Ni 0.000 0.000 0.500
4 Sb 0.250 0.250 0.250

No. 19
DFT (PBE-GGA) results for crystalline LiZrNiSb at its relaxed geometry.

a b c (Å): 6.385 6.385 6.385
angles (deg): 90.00 90.00 90.00
Space group F-43m (No. 216)
Inequivalent atoms, fractional coordinates:
1 Li 0.000 0.000 0.000
2 Zr 0.250 0.250 0.750
3 Ni 0.000 0.000 0.500
4 Sb 0.250 0.250 0.250

No. 20
DFT (PBE-GGA) results for crystalline LiSc3Ni8 at its relaxed geometry.

a b c (Å): 4.8273 4.8273 23.6283
angles (deg): 90.00 90.00 120.00
Space group R3m (No. 160, hexagonal axes)
Inequivalent atoms, fractional coordinates:
1 Li 0.0000 0.0000 0.0000
2 Sc 0.0000 0.0000 0.1212
3 Sc 0.0000 0.0000 0.5051
4 Sc 0.0000 0.0000 0.6337
5 Ni 0.0000 0.0000 0.3159
6 Ni 0.0000 0.0000 0.8157
7 Ni 0.0031 0.5016 0.0660
8 Ni 0.1672 0.3345 0.8987

No. 21
DFT (PBE-GGA) results for crystalline LiScNiSe3 at its relaxed geometry.

Properties
As for the energy above the most stable polymorph in this dataset: 0.000 eV per atom.

a b c (Å): 3.692 13.085 9.810
angles (deg): 90.00 90.00 90.00
Space group Cmcm (No. 63)
Inequivalent atoms, fractional coordinates:
1 Li 0.000 0.223 0.250
2 Sc 0.000 0.000 0.000
3 Ni 0.000 0.485 0.750
4 Se 0.000 0.097 0.750
5 Se 0.000 0.361 0.577

No. 22
DFT (PBE-GGA) results for crystalline LiScNiSe3 at its relaxed geometry.

Properties
As for the energy above the most stable polymorph in this dataset: 0.004 eV per atom.

a b c (Å): 10.005 3.726 12.578
angles (deg): 90.00 90.00 90.00
Space group Pnma (No. 62)
Inequivalent atoms, fractional coordinates:
1 Li 0.241 0.250 0.032
2 Sc 0.003 0.750 0.747
3 Ni 0.247 0.750 0.234
4 Se 0.071 0.750 0.110
5 Se 0.081 0.250 0.606
6 Se 0.249 0.250 0.348

No. 23
DFT (PBE-GGA) results for crystalline Li2YScNi2Sn2 at its relaxed geometry.

a b c (Å): 4.545 4.545 6.438
angles (deg): 90.00 90.00 90.00
Space group P-4m2 (No. 115)
Inequivalent atoms, fractional coordinates:
1 Li 0.000 0.500 0.238
2 Y 0.000 0.000 0.500
3 Sc 0.500 0.500 0.000
4 Ni 0.000 0.500 0.763
5 Sn 0.000 0.000 0.000
6 Sn 0.500 0.500 0.500

No. 24
DFT (PBE-GGA) results for crystalline LiNi3Se5 at its relaxed geometry.

a b c (Å): 5.5521 5.5521 6.6507
angles (deg): 90.00 90.00 120.00
Space group P6/mmm (No. 191)
Inequivalent atoms, fractional coordinates:
1 Li 0.0000 0.0000 0.0000
2 Ni 0.0000 0.5000 0.5000
3 Se 0.0000 0.0000 0.5000
4 Se 0.3333 0.6667 0.2405

No. 25
DFT (PBE-GGA) results for crystalline LiSmNiSe3 at its relaxed geometry.

a b c (Å): 3.912 12.857 10.719
angles (deg): 90.00 90.00 90.00
Space group Cmcm (No. 63)
Inequivalent atoms, fractional coordinates:
1 Li 0.000 0.228 0.250
2 Sm 0.000 0.000 0.000
3 Ni 0.000 0.485 0.750
4 Se 0.000 0.092 0.750
5 Se 0.000 0.352 0.594

Per-record total DFT energy (no corrections), eV for the cell shown: -46.12; -43.52; -66.95; -80.14; -80.17; -41.39; -132.24; -149.13; -63.48; -79.96; -78.65; -76.77; -90.16; -89.68; -88.72; -84.75; -90.46; -80.60; -85.17; -212.25; -121.92; -121.82; -40.50; -37.92; -116.09